[1]
Crystalline AgSn2Te2 at its relaxed geometry, computed with GGA-PBEsol.

a b c (Å): 4.116 4.116 16.337
angles (deg): 90.00 90.00 90.00
Space group I4/mmm (No. 139)
Inequivalent atoms, fractional coordinates:
Ag1 0.000 0.000 0.000 [2 per cell]
Sn1 0.000 0.500 0.250 [4 per cell]
Te1 0.000 0.000 0.409 [4 per cell]

Results
The calculation puts the formation energy from raw total energies at 0.197 eV/atom.

---

[2]
Crystalline MgMoAu2 at its relaxed geometry, computed with GGA-PBEsol.

a b c (Å): 2.865 2.865 7.977
angles (deg): 90.00 90.00 90.00
Space group P4/mmm (No. 123)
Inequivalent atoms, fractional coordinates:
Mg1 0.000 0.000 0.000 [1 per cell]
Mo1 0.000 0.000 0.500 [1 per cell]
Au1 0.500 0.500 0.252 [2 per cell]

Results
The formation enthalpy at 0 K is -0.39 eV per formula unit.

---

[3]
Crystalline PmEr3 at its relaxed geometry, computed with GGA-PBEsol.

a b c (Å): 4.901 4.901 4.901
angles (deg): 90.00 90.00 90.00
Space group Pm-3m (No. 221)
Inequivalent atoms, fractional coordinates:
Pm1 0.000 0.000 0.000 [1 per cell]
Er1 0.000 0.500 0.500 [3 per cell]

Results
The energy above the most stable polymorph in this dataset is 0.003 eV per atom. The formation enthalpy at 0 K is 0.07 eV per formula unit.

---

| no. | V (A^3/atom) |
| --- | --- |
| 1 | 27.68 |
| 2 | 16.37 |
| 3 | 29.43 |